No. 1
CePuHg: relaxed, PBE.

Calculated values
ΔE_f	-0.164	eV per atom
total energy	-7.02	eV/atom
excess energy over the best structure of this formula in the dataset	0.000	eV/atom

a = 7.6098 Å, b = 7.6098 Å, c = 5.3967 Å
α = 90.00°, β = 90.00°, γ = 151.12°
Last column: nearest neighbours and their distance in Å.
Atoms (fractional coordinates):
Ce1 0.1003 0.8997 0.7500  2 Pu 2.74
Ce2 0.8997 0.1003 0.2500  2 Pu 2.74
Pu1 0.2660 0.7340 0.2500  2 Ce 2.74
Pu2 0.7340 0.2660 0.7500  2 Ce 2.74
Hg1 0.4124 0.5876 0.7500  4 Pu 3.24-3.46, 6 Ce 3.30-3.36
Hg2 0.5876 0.4124 0.2500  4 Pu 3.24-3.46, 6 Ce 3.30-3.36

No. 2
HgIr2Os: relaxed, PBE.

Calculated values
ΔE_f	0.595	eV per atom
total energy	-6.72	eV/atom

a = 4.8722 Å, b = 4.8722 Å, c = 4.8722 Å
α = 131.80°, β = 131.80°, γ = 70.54°
Last column: nearest neighbours and their distance in Å.
Atoms (fractional coordinates):
Hg1 0.0000 0.0000 0.0000  8 Ir 2.81, 4 Os 2.81
Ir1 0.2500 0.7500 0.5000  4 Hg 2.81, 4 Os 2.81, 4 Ir 2.81
Ir2 0.7500 0.2500 0.5000  4 Hg 2.81, 4 Os 2.81, 4 Ir 2.81
Os1 0.5000 0.5000 0.0000  8 Ir 2.81, 4 Hg 2.81

Question: total energy of number 2 (HgIr2Os)?
Answer: -6.72 eV/atom